(1)
# GePbF3 (GGA-PBE, optimized geometry)
# Crystal system: cubic
# Raw total energy (eV/f.u.): -20.6
data_GePbF3
_cell_length_a 4.782
_cell_length_b 4.782
_cell_length_c 4.782
_cell_angle_alpha 90.00
_cell_angle_beta 90.00
_cell_angle_gamma 90.00
_space_group_name_H-M_alt 'P m -3 m'
_space_group_IT_number 221
_space_group_name_Hall '-P 4 2 3'
loop_
_atom_site_label
_atom_site_type_symbol
_atom_site_fract_x
_atom_site_fract_y
_atom_site_fract_z
Ge1 Ge 0.000 0.000 0.000
Pb1 Pb 0.500 0.500 0.500
F1 F 0.000 0.500 0.500


(2)
# GePb2F (GGA-PBE, optimized geometry)
# Crystal system: tetragonal
# Energy relative to the lowest polymorph listed for this composition (meV/atom): 102
data_GePb2F
_cell_length_a 5.670
_cell_length_b 5.670
_cell_length_c 14.559
_cell_angle_alpha 90.00
_cell_angle_beta 90.00
_cell_angle_gamma 90.00
_space_group_name_H-M_alt 'I -4 2 d'
_space_group_IT_number 122
_space_group_name_Hall 'I -4 2bw'
loop_
_atom_site_label
_atom_site_type_symbol
_atom_site_fract_x
_atom_site_fract_y
_atom_site_fract_z
Ge1 Ge 0.000 0.000 0.000
Pb1 Pb 0.193 0.250 0.625
F1 F 0.000 0.000 0.500


(3)
# GePbF2 (GGA-PBE, optimized geometry)
# Crystal system: trigonal
# Energy relative to the lowest polymorph listed for this composition (meV/atom): 91
data_GePbF2
_cell_length_a 3.6762
_cell_length_b 3.6762
_cell_length_c 21.8197
_cell_angle_alpha 90.00
_cell_angle_beta 90.00
_cell_angle_gamma 120.00
_space_group_name_H-M_alt 'R -3 m'
_space_group_IT_number 166
_space_group_name_Hall '-R 3 2"'
loop_
_atom_site_label
_atom_site_type_symbol
_atom_site_fract_x
_atom_site_fract_y
_atom_site_fract_z
Ge1 Ge 0.0000 0.0000 0.0000
Pb1 Pb 0.0000 0.0000 0.5000
F1 F 0.0000 0.0000 0.3767


(4)
# GePbF2 (GGA-PBE, optimized geometry)
# Crystal system: trigonal
# Energy relative to the lowest polymorph listed for this composition (meV/atom): 0
data_GePbF2
_cell_length_a 3.2319
_cell_length_b 3.2319
_cell_length_c 24.6742
_cell_angle_alpha 90.00
_cell_angle_beta 90.00
_cell_angle_gamma 120.00
_space_group_name_H-M_alt 'R -3 m'
_space_group_IT_number 166
_space_group_name_Hall '-R 3 2"'
loop_
_atom_site_label
_atom_site_type_symbol
_atom_site_fract_x
_atom_site_fract_y
_atom_site_fract_z
Ge1 Ge 0.0000 0.0000 0.0000
Pb1 Pb 0.0000 0.0000 0.5000
F1 F 0.0000 0.0000 0.0850


(5)
# Ge2PbF6 (GGA-PBE, optimized geometry)
# Crystal system: monoclinic
# Raw total energy (eV/f.u.): -44.2
data_Ge2PbF6
_cell_length_a 15.558
_cell_length_b 6.362
_cell_length_c 10.263
_cell_angle_alpha 90.00
_cell_angle_beta 130.57
_cell_angle_gamma 90.00
_space_group_name_H-M_alt 'C 1 2/c 1'
_space_group_IT_number 15
_space_group_name_Hall '-C 2yc'
loop_
_atom_site_label
_atom_site_type_symbol
_atom_site_fract_x
_atom_site_fract_y
_atom_site_fract_z
Ge1 Ge 0.201 0.250 0.109
Pb1 Pb 0.000 0.249 0.250
F1 F 0.096 0.035 0.967
F2 F 0.096 0.466 0.967
F3 F 0.159 0.250 0.246


(6)
# Ge2PbF8 (GGA-PBE, optimized geometry)
# Crystal system: monoclinic
# Raw total energy (eV/f.u.): -51.0
data_Ge2PbF8
_cell_length_a 9.536
_cell_length_b 6.622
_cell_length_c 5.330
_cell_angle_alpha 90.00
_cell_angle_beta 97.89
_cell_angle_gamma 90.00
_space_group_name_H-M_alt 'C 1 2/m 1'
_space_group_IT_number 12
_space_group_name_Hall '-C 2y'
loop_
_atom_site_label
_atom_site_type_symbol
_atom_site_fract_x
_atom_site_fract_y
_atom_site_fract_z
Ge1 Ge 0.162 0.000 0.418
Pb1 Pb 0.000 0.500 0.000
F1 F 0.039 0.000 0.732
F2 F 0.139 0.297 0.362
F3 F 0.233 0.500 0.856


(7)
# GePbF2 (GGA-PBE, optimized geometry)
# Crystal system: cubic
# Energy relative to the lowest polymorph listed for this composition (meV/atom): 376
data_GePbF2
_cell_length_a 6.512
_cell_length_b 6.512
_cell_length_c 6.512
_cell_angle_alpha 90.00
_cell_angle_beta 90.00
_cell_angle_gamma 90.00
_space_group_name_H-M_alt 'F m -3 m'
_space_group_IT_number 225
_space_group_name_Hall '-F 4 2 3'
loop_
_atom_site_label
_atom_site_type_symbol
_atom_site_fract_x
_atom_site_fract_y
_atom_site_fract_z
Ge1 Ge 0.000 0.000 0.000
Pb1 Pb 0.000 0.000 0.500
F1 F 0.250 0.250 0.250


(8)
# GePbF5 (GGA-PBE, optimized geometry)
# Crystal system: monoclinic
# Raw total energy (eV/f.u.): -33.3
data_GePbF5
_cell_length_a 9.608
_cell_length_b 7.039
_cell_length_c 8.136
_cell_angle_alpha 90.00
_cell_angle_beta 114.80
_cell_angle_gamma 90.00
_space_group_name_H-M_alt 'C 1 2/c 1'
_space_group_IT_number 15
_space_group_name_Hall '-C 2yc'
loop_
_atom_site_label
_atom_site_type_symbol
_atom_site_fract_x
_atom_site_fract_y
_atom_site_fract_z
Ge1 Ge 0.000 0.000 0.000
Pb1 Pb 0.000 0.466 0.250
F1 F 0.000 0.046 0.250
F2 F 0.007 0.288 0.971
F3 F 0.223 0.011 0.612


(9)
# GePbF6 (GGA-PBE, optimized geometry)
# Crystal system: triclinic
# Raw total energy (eV/f.u.): -39.3
data_GePbF6
_cell_length_a 5.465
_cell_length_b 5.469
_cell_length_c 5.913
_cell_angle_alpha 62.53
_cell_angle_beta 62.58
_cell_angle_gamma 60.09
_space_group_name_H-M_alt 'P -1'
_space_group_IT_number 2
_space_group_name_Hall '-P 1'
loop_
_atom_site_label
_atom_site_type_symbol
_atom_site_fract_x
_atom_site_fract_y
_atom_site_fract_z
Ge1 Ge 0.000 0.000 0.000
Pb1 Pb 0.500 0.500 0.500
F1 F 0.062 0.348 0.787
F2 F 0.199 0.938 0.212
F3 F 0.348 0.802 0.788


(10)
# Ge2PbF (GGA-PBE, optimized geometry)
# Crystal system: cubic
# Energy relative to the lowest polymorph listed for this composition (meV/atom): 284
data_Ge2PbF
_cell_length_a 6.858
_cell_length_b 6.858
_cell_length_c 6.858
_cell_angle_alpha 90.00
_cell_angle_beta 90.00
_cell_angle_gamma 90.00
_space_group_name_H-M_alt 'F m -3 m'
_space_group_IT_number 225
_space_group_name_Hall '-F 4 2 3'
loop_
_atom_site_label
_atom_site_type_symbol
_atom_site_fract_x
_atom_site_fract_y
_atom_site_fract_z
Ge1 Ge 0.250 0.250 0.250
Pb1 Pb 0.000 0.000 0.000
F1 F 0.000 0.000 0.500


(11)
# Ge2PbF (GGA-PBE, optimized geometry)
# Crystal system: tetragonal
# Energy relative to the lowest polymorph listed for this composition (meV/atom): 0
data_Ge2PbF
_cell_length_a 3.738
_cell_length_b 3.738
_cell_length_c 24.111
_cell_angle_alpha 90.00
_cell_angle_beta 90.00
_cell_angle_gamma 90.00
_space_group_name_H-M_alt 'I -4 2 d'
_space_group_IT_number 122
_space_group_name_Hall 'I -4 2bw'
loop_
_atom_site_label
_atom_site_type_symbol
_atom_site_fract_x
_atom_site_fract_y
_atom_site_fract_z
Ge1 Ge 0.249 0.250 0.125
Pb1 Pb 0.000 0.000 0.000
F1 F 0.000 0.000 0.500


(12)
# GePbF3 (GGA-PBE, optimized geometry)
# Crystal system: cubic
# Raw total energy (eV/f.u.): -21.7
data_GePbF3
_cell_length_a 4.484
_cell_length_b 4.484
_cell_length_c 4.484
_cell_angle_alpha 90.00
_cell_angle_beta 90.00
_cell_angle_gamma 90.00
_space_group_name_H-M_alt 'P m -3 m'
_space_group_IT_number 221
_space_group_name_Hall '-P 4 2 3'
loop_
_atom_site_label
_atom_site_type_symbol
_atom_site_fract_x
_atom_site_fract_y
_atom_site_fract_z
Ge1 Ge 0.000 0.000 0.000
Pb1 Pb 0.500 0.500 0.500
F1 F 0.000 0.000 0.500


Calculated M_tot (μB per atom), listed in the same order as above: 0.20 0.00 0.00 0.00 0.00 0.00 0.00 0.00 0.00 0.00 0.00 0.19
Calculated theoretical density (Mg/m³), listed in the same order as above: 5.12 7.18 6.20 7.09 4.02 5.03 7.65 4.98 5.04 7.65 7.32 6.20